# BaTb2Se4

A geometry-optimized BaTb2Se4 structure (GGA-PBE, OQMD via LeMat-Bulk).

a = 4.2203 Å, b = 13.7549 Å, c = 14.2990 Å
α = 90.00°, β = 90.00°, γ = 90.00°
Closest atoms and distances in Å follow each position.
Space group Cmcm (No. 63)
Unique sites:
Ba 0.0000 0.1100 0.2500  6 Se 3.20-3.35
Tb 0.0000 0.3654 0.0667  6 Se 2.79-2.97
Se 0.0000 0.0000 0.0000  4 Tb 2.97
Se 0.0000 0.2674 0.6120  3 Tb 2.86-2.89
Se 0.0000 0.4355 0.2500  2 Tb 2.79

spin magnetization: 0.00 μB per atom
uncorrected energy: -155.34 eV for the cell shown